<i>
A relaxed structure of La2YCr, computed with PBE.

a = 6.6020 Å, b = 6.6020 Å, c = 3.5100 Å
α = 102.03°, β = 102.03°, γ = 119.87°
With the nearest neighbours (Å) after each atom.
Element x y z (fractional)
La (0.0000, 0.5000, 0.0000)  6 La 3.31-3.69, 2 Cr 3.40, 2 Y 3.40
La (0.5000, 0.0000, 0.0000)  6 La 3.31-3.69, 2 Cr 3.40, 2 Y 3.40
Y (0.0000, 0.0000, 0.5000)  4 Cr 3.31-3.69, 4 La 3.40, 2 Y 3.51
Cr (0.5000, 0.5000, 0.5000)  4 Y 3.31-3.69, 4 La 3.40, 2 Cr 3.51

## Properties
The theoretical density is 5.76 g/cm3. The value obtained for the density of states at the Fermi level is 1.41 states/eV/atom. The total magnetization is 0.972 μB/atom.

***

<ii>
A relaxed structure of La2YCr, computed with PBE.

a = 6.0461 Å, b = 6.0461 Å, c = 6.0461 Å
α = 131.86°, β = 131.86°, γ = 70.45°
With the nearest neighbours (Å) after each atom.
Element x y z (fractional)
La (0.2500, 0.7500, 0.5000)  4 La 3.49, 4 Cr 3.49, 4 Y 3.49
La (0.7500, 0.2500, 0.5000)  4 La 3.49, 4 Cr 3.49, 4 Y 3.49
Y (0.0000, 0.0000, 0.0000)  4 Cr 3.49, 8 La 3.49
Cr (0.5000, 0.5000, 0.0000)  4 Y 3.49, 8 La 3.49

## Properties
The theoretical density is 5.79 g/cm3. The value obtained for the density of states at the Fermi level is 1.54 states/eV/atom. The total magnetization is 0.871 μB/atom.

***

Q: Which of them is the most stable? A: <ii>.

***

<i>
A relaxed structure of La2YCr, computed with PBE.

a = 5.5259 Å, b = 5.5259 Å, c = 5.5259 Å
α = 60.00°, β = 60.00°, γ = 60.00°
With the nearest neighbours (Å) after each atom.
Element x y z (fractional)
La (0.0000, 0.0000, 0.0000)  4 La 3.38, 4 Cr 3.38
La (0.2500, 0.2500, 0.2500)  4 Y 3.38, 4 La 3.38
Y (0.5000, 0.5000, 0.5000)  4 Cr 3.38, 4 La 3.38
Cr (0.7500, 0.7500, 0.7500)  4 La 3.38, 4 Y 3.38

## Properties
The theoretical density is 5.83 g/cm3. The value obtained for the density of states at the Fermi level is 1.12 states/eV/atom. The total magnetization is 0.650 μB/atom.

***

<ii>
A relaxed structure of La2YCr, computed with PBE.

a = 6.6366 Å, b = 6.6366 Å, c = 6.6366 Å
α = 146.56°, β = 129.92°, γ = 61.56°
With the nearest neighbours (Å) after each atom.
Element x y z (fractional)
La (0.0000, 0.0000, 0.0000)  4 Cr 3.40, 4 Y 3.70-3.80, 4 La 3.72-3.79
La (0.7133, 0.2133, 0.5000)  2 Cr 3.13
Y (0.2882, 0.7882, 0.5000)  2 Cr 3.04
Cr (0.4962, 0.4962, 0.0000)  2 Y 3.04, 6 La 3.13-3.40

## Properties
The theoretical density is 5.68 g/cm3. The value obtained for the density of states at the Fermi level is 1.29 states/eV/atom. The total magnetization is 0.807 μB/atom.

***

<iii>
A relaxed structure of La2YCr, computed with PBE.

a = 5.2594 Å, b = 5.2594 Å, c = 4.4013 Å
α = 90.00°, β = 90.00°, γ = 90.00°
With the nearest neighbours (Å) after each atom.
Element x y z (fractional)
La (0.0000, 0.5000, 0.0000)  4 Cr 3.43, 4 Y 3.43, 4 La 3.72
La (0.5000, 0.0000, 0.0000)  4 Cr 3.43, 4 Y 3.43, 4 La 3.72
Y (0.0000, 0.0000, 0.5000)  8 La 3.43, 4 Cr 3.72
Cr (0.5000, 0.5000, 0.5000)  8 La 3.43, 4 Y 3.72

## Properties
The theoretical density is 5.71 g/cm3. The value obtained for the density of states at the Fermi level is 1.12 states/eV/atom. The total magnetization is 0.742 μB/atom.

***

<iv>
A relaxed structure of La2YCr, computed with PBE.

a = 10.8785 Å, b = 10.8785 Å, c = 10.8785 Å
α = 19.35°, β = 19.35°, γ = 19.35°
With the nearest neighbours (Å) after each atom.
Element x y z (fractional)
La (0.2380, 0.2380, 0.2380)  3 Cr 3.11
La (0.7620, 0.7620, 0.7620)  3 Cr 3.11
Y (0.0000, 0.0000, 0.0000)  6 Y 3.66, 6 La 3.71
Cr (0.5000, 0.5000, 0.5000)  6 La 3.11

## Properties
The theoretical density is 5.63 g/cm3. The value obtained for the density of states at the Fermi level is 1.41 states/eV/atom. The total magnetization is 0.927 μB/atom.

***

Q: Which of them is the most stable? A: <ii>.

***

<i>
A relaxed structure of La2YCr, computed with PBE.

a = 3.5870 Å, b = 4.8776 Å, c = 6.8919 Å
α = 90.00°, β = 98.48°, γ = 90.00°
With the nearest neighbours (Å) after each atom.
Element x y z (fractional)
La (0.0000, 0.0000, 0.0000)  2 Cr 3.35-3.54, 6 La 3.49-3.60, 4 Y 3.53-3.61
La (0.4562, 0.5000, 0.7298)  1 Y 3.18, 2 Cr 3.25, 2 La 3.49
Y (0.5565, 0.5000, 0.2786)  2 Cr 3.15, 1 La 3.18
Cr (0.0092, 0.0000, 0.4866)  2 Y 3.15, 3 La 3.25-3.35

## Properties
The theoretical density is 5.83 g/cm3. The value obtained for the density of states at the Fermi level is 1.50 states/eV/atom. The total magnetization is 0.873 μB/atom.

***

<ii>
A relaxed structure of La2YCr, computed with PBE.

a = 5.3494 Å, b = 5.3494 Å, c = 5.3494 Å
α = 60.00°, β = 60.00°, γ = 60.00°
With the nearest neighbours (Å) after each atom.
Element x y z (fractional)
La (0.2500, 0.2500, 0.2500)  4 Cr 3.28, 4 Y 3.28
La (0.7500, 0.7500, 0.7500)  4 Cr 3.28, 4 Y 3.28
Y (0.0000, 0.0000, 0.0000)  8 La 3.28
Cr (0.5000, 0.5000, 0.5000)  8 La 3.28

## Properties
The theoretical density is 6.42 g/cm3. The value obtained for the density of states at the Fermi level is 2.23 states/eV/atom. The total magnetization is 0.000 μB/atom.

***

Q: Which of them is the most stable? A: <i>.

***

<i>
A relaxed structure of LaYCr2, computed with PBE.

a = 3.6539 Å, b = 3.6539 Å, c = 7.3704 Å
α = 90.00°, β = 90.00°, γ = 90.00°
With the nearest neighbours (Å) after each atom.
Element x y z (fractional)
La (0.0000, 0.0000, 0.0000)  8 Cr 3.23
Y (0.0000, 0.0000, 0.5000)  8 Cr 3.12
Cr (0.5000, 0.5000, 0.2628)  4 Y 3.12, 4 La 3.23
Cr (0.5000, 0.5000, 0.7372)  4 Y 3.12, 4 La 3.23

## Properties
The theoretical density is 5.60 g/cm3. The value obtained for the density of states at the Fermi level is 0.84 states/eV/atom. The total magnetization is 1.771 μB/atom.

***

<ii>
A relaxed structure of LaYCr2, computed with PBE.

a = 6.0880 Å, b = 6.0880 Å, c = 6.0880 Å
α = 104.38°, β = 104.38°, γ = 120.21°
With the nearest neighbours (Å) after each atom.
Element x y z (fractional)
La (0.0000, 0.0000, 0.0000)  4 Cr 2.67
La (0.7500, 0.2500, 0.5000)  4 Cr 2.67
Y (0.2500, 0.7500, 0.5000)  4 Cr 2.82, 2 La 3.03
Y (0.5000, 0.5000, 0.0000)  4 Cr 2.82, 2 La 3.03
Cr (0.1102, 0.1250, 0.4852)  2 La 2.67, 2 Y 2.82
Cr (0.3750, 0.8898, 0.0148)  2 La 2.67, 2 Y 2.82
Cr (0.6398, 0.6250, 0.5148)  2 La 2.67, 2 Y 2.82
Cr (0.8750, 0.3602, 0.9852)  2 La 2.67, 2 Y 2.82

## Properties
The theoretical density is 6.52 g/cm3. The value obtained for the density of states at the Fermi level is 3.06 states/eV/atom. The total magnetization is 0.000 μB/atom.

***

<iii>
A relaxed structure of LaYCr2, computed with PBE.

a = 5.1060 Å, b = 5.1060 Å, c = 5.1060 Å
α = 60.00°, β = 60.00°, γ = 60.00°
With the nearest neighbours (Å) after each atom.
Element x y z (fractional)
La (0.0000, 0.0000, 0.0000)  4 Cr 3.13, 4 Y 3.13
Y (0.2500, 0.2500, 0.2500)  4 Cr 3.13, 4 La 3.13
Cr (0.5000, 0.5000, 0.5000)  4 Cr 3.13, 4 Y 3.13
Cr (0.7500, 0.7500, 0.7500)  4 La 3.13, 4 Cr 3.13

## Properties
The theoretical density is 5.85 g/cm3. The value obtained for the density of states at the Fermi level is 0.60 states/eV/atom. The total magnetization is 0.025 μB/atom.

***

<iv>
A relaxed structure of LaYCr2, computed with PBE.

a = 6.0962 Å, b = 6.0962 Å, c = 6.0962 Å
α = 145.80°, β = 131.14°, γ = 60.99°
With the nearest neighbours (Å) after each atom.
Element x y z (fractional)
La (0.0000, 0.0000, 0.0000)  8 Cr 3.17-3.49, 4 Y 3.41-3.45
Y (0.7240, 0.2240, 0.5000)  8 Cr 3.16-3.53, 4 La 3.41-3.45
Cr (0.2845, 0.7845, 0.5000)  2 Cr 2.38
Cr (0.4341, 0.4341, 0.0000)  2 Cr 2.38

## Properties
The theoretical density is 5.80 g/cm3. The value obtained for the density of states at the Fermi level is 1.17 states/eV/atom. The total magnetization is 0.061 μB/atom.

***

Q: Which of them is the most stable? A: <iv>.

***

<i>
A relaxed structure of LaZn3Cr, computed with PBE.

a = 5.6286 Å, b = 5.6286 Å, c = 5.6286 Å
α = 90.00°, β = 90.00°, γ = 90.00°
With the nearest neighbours (Å) after each atom.
Element x y z (fractional)
La (0.0000, 0.0000, 0.0000)  6 Zn 2.81
Zn (0.0000, 0.0000, 0.5000)  2 La 2.81
Zn (0.0000, 0.5000, 0.0000)  2 La 2.81
Zn (0.5000, 0.0000, 0.0000)  2 La 2.81
Cr (0.5000, 0.5000, 0.5000)  12 Zn 3.98

## Properties
The theoretical density is 3.60 g/cm3. The value obtained for the density of states at the Fermi level is 0.90 states/eV/atom. The total magnetization is 0.804 μB/atom.

***

<ii>
A relaxed structure of LaZn3Cr, computed with PBE.

a = 4.7973 Å, b = 4.7973 Å, c = 4.7973 Å
α = 90.00°, β = 90.00°, γ = 90.00°
With the nearest neighbours (Å) after each atom.
Element x y z (fractional)
La (0.0000, 0.0000, 0.0000)  12 Zn 3.39
Zn (0.0000, 0.5000, 0.5000)  2 Cr 2.40
Zn (0.5000, 0.0000, 0.5000)  2 Cr 2.40
Zn (0.5000, 0.5000, 0.0000)  2 Cr 2.40
Cr (0.5000, 0.5000, 0.5000)  6 Zn 2.40

## Properties
The theoretical density is 5.82 g/cm3. The value obtained for the density of states at the Fermi level is 0.58 states/eV/atom. The total magnetization is 0.522 μB/atom.

***

Q: Which of them is the most stable? A: <ii>.

***

<i>
A relaxed structure of LaZrCr2, computed with PBE.

a = 5.9302 Å, b = 5.9302 Å, c = 5.9302 Å
α = 104.22°, β = 104.22°, γ = 120.59°
With the nearest neighbours (Å) after each atom.
Element x y z (fractional)
La (0.0000, 0.0000, 0.0000)  4 Cr 2.70, 2 Zr 2.94
La (0.7500, 0.2500, 0.5000)  4 Cr 2.70, 2 Zr 2.94
Zr (0.2500, 0.7500, 0.5000)  4 Cr 2.66, 2 La 2.94
Zr (0.5000, 0.5000, 0.0000)  4 Cr 2.66, 2 La 2.94
Cr (0.1296, 0.6250, 0.0046)  2 Zr 2.66, 2 La 2.70, 2 Cr 2.94
Cr (0.3750, 0.3796, 0.5046)  2 Zr 2.66, 2 La 2.70, 2 Cr 2.94
Cr (0.6204, 0.1250, 0.9954)  2 Zr 2.66, 2 La 2.70, 2 Cr 2.94
Cr (0.8750, 0.8704, 0.4954)  2 Zr 2.66, 2 La 2.70, 2 Cr 2.94

## Properties
The theoretical density is 7.12 g/cm3. The value obtained for the density of states at the Fermi level is 2.45 states/eV/atom. The total magnetization is 0.000 μB/atom.

***

<ii>
A relaxed structure of LaZrCr2, computed with PBE.

a = 3.0851 Å, b = 3.0851 Å, c = 8.4042 Å
α = 90.00°, β = 90.00°, γ = 90.00°
With the nearest neighbours (Å) after each atom.
Element x y z (fractional)
La (0.0000, 0.0000, 0.0000)  4 La 3.09, 4 Cr 3.19
Zr (0.5000, 0.5000, 0.6368)  5 Cr 2.86-3.02, 4 Zr 3.09
Cr (0.0000, 0.0000, 0.4167)  4 Cr 2.47
Cr (0.5000, 0.5000, 0.2777)  4 Cr 2.47

## Properties
The theoretical density is 6.94 g/cm3. The value obtained for the density of states at the Fermi level is 1.27 states/eV/atom. The total magnetization is 0.125 μB/atom.

***

Q: Which of them is the most stable? A: <ii>.

***

<i>
A relaxed structure of LaZrCr2, computed with PBE.

a = 4.8737 Å, b = 4.8737 Å, c = 4.8737 Å
α = 60.00°, β = 60.00°, γ = 60.00°
With the nearest neighbours (Å) after each atom.
Element x y z (fractional)
La (0.0000, 0.0000, 0.0000)  4 Cr 2.98, 4 Zr 2.98
Zr (0.2500, 0.2500, 0.2500)  4 Cr 2.98, 4 La 2.98
Cr (0.5000, 0.5000, 0.5000)  4 Zr 2.98, 4 Cr 2.98
Cr (0.7500, 0.7500, 0.7500)  4 Cr 2.98, 4 La 2.98

## Properties
The theoretical density is 6.78 g/cm3. The value obtained for the density of states at the Fermi level is 1.66 states/eV/atom. The total magnetization is 0.056 μB/atom.

***

<ii>
A relaxed structure of LaZrCr2, computed with PBE.

a = 5.6161 Å, b = 5.6161 Å, c = 5.6161 Å
α = 135.41°, β = 135.41°, γ = 64.90°
With the nearest neighbours (Å) after each atom.
Element x y z (fractional)
La (0.0000, 0.0000, 0.0000)  8 Cr 3.01-3.19, 4 Zr 3.19
Zr (0.2500, 0.7500, 0.5000)  8 Cr 3.01-3.19, 4 La 3.19
Cr (0.5000, 0.5000, 0.0000)  4 La 3.01, 4 Zr 3.19, 4 Cr 3.19
Cr (0.7500, 0.2500, 0.5000)  4 Zr 3.01, 4 Cr 3.19, 4 La 3.19

## Properties
The theoretical density is 6.45 g/cm3. The value obtained for the density of states at the Fermi level is 0.90 states/eV/atom. The total magnetization is 1.550 μB/atom.

***

Q: Which of them is the most stable? A: <i>.

***

<i>
A relaxed structure of LaZrCr2, computed with PBE.

a = 4.9323 Å, b = 4.9323 Å, c = 4.9323 Å
α = 60.00°, β = 60.00°, γ = 60.00°
With the nearest neighbours (Å) after each atom.
Element x y z (fractional)
La (0.0000, 0.0000, 0.0000)  8 Cr 3.02
Zr (0.5000, 0.5000, 0.5000)  8 Cr 3.02
Cr (0.2500, 0.2500, 0.2500)  4 Zr 3.02, 4 La 3.02
Cr (0.7500, 0.7500, 0.7500)  4 Zr 3.02, 4 La 3.02

## Properties
The theoretical density is 6.54 g/cm3. The value obtained for the density of states at the Fermi level is 0.55 states/eV/atom. The total magnetization is 1.285 μB/atom.

***

<ii>
A relaxed structure of LaZrCr2, computed with PBE.

a = 5.1425 Å, b = 5.1425 Å, c = 5.9417 Å
α = 112.60°, β = 112.60°, γ = 38.53°
With the nearest neighbours (Å) after each atom.
Element x y z (fractional)
La (0.0000, 0.0000, 0.0000)  4 Cr 3.09, 2 La 3.39, 4 Zr 3.42
Zr (0.5000, 0.5000, 0.5000)  6 Cr 2.77-2.83
Cr (0.2455, 0.2455, 0.6194)  2 Cr 2.24
Cr (0.7545, 0.7545, 0.3806)  2 Cr 2.24

## Properties
The theoretical density is 6.21 g/cm3. The value obtained for the density of states at the Fermi level is 1.30 states/eV/atom. The total magnetization is 0.000 μB/atom.

***

Q: Which of them is the most stable? A: <i>.